(1)
PuMnNbV after structural relaxation, computed with PBE-GGA.

Computed properties:
Space-group type: F-43m, No. 216

Unit cell a=4.5233 b=4.5233 c=4.5233 alpha=60.00 beta=60.00 gamma=60.00
Last column: nearest neighbours and their distance in Å.
Element x y z (fractional)
Nb: 0.0000 0.0000 0.0000  4 Mn 2.77, 4 V 2.77
Mn: 0.7500 0.7500 0.7500  4 Pu 2.77, 4 Nb 2.77
V: 0.2500 0.2500 0.2500  4 Nb 2.77, 4 Pu 2.77
Pu: 0.5000 0.5000 0.5000  4 V 2.77, 4 Mn 2.77

=====

(2)
RbMn3Nb after structural relaxation, computed with PBE-GGA.

Computed properties:
Space-group type: Pm-3m, No. 221

Unit cell a=4.7989 b=4.7989 c=4.7989 alpha=90.00 beta=90.00 gamma=90.00
Last column: nearest neighbours and their distance in Å.
Element x y z (fractional)
Nb: 0.5000 0.5000 0.5000  12 Mn 3.39
Mn: 0.0000 0.5000 0.0000  2 Rb 2.40
Mn: 0.0000 0.0000 0.5000  2 Rb 2.40
Mn: 0.5000 0.0000 0.0000  2 Rb 2.40
Rb: 0.0000 0.0000 0.0000  6 Mn 2.40

=====

Energy of formation values, unit eV/atom, following the record order: 0.20, 2.53.
Energy values, unit eV per cell, following the record order: -41.87, -25.91.